An optimized crystal structure of Ac3CeTh2P6. Source: the Alexandria database, functional PBE.

- Fermi-level density of states (states/eV per cell) = 8.09
- ΔE_f (eV/atom) = -1.50
- SG = C2/m, No. 12

abc: 7.3943 7.3943 7.4491
angles: 99.52 99.52 120.00
Last column: nearest neighbours and their distance in Å.
Fractional positions:
1 Ac 0.0000 0.0000 0.0000  6 P 3.12
2 Ac 0.3338 0.6662 0.0000  6 P 3.11-3.12
3 Ac 0.6662 0.3338 0.0000  6 P 3.11-3.12
4 Ce 0.5000 0.5000 0.5000  6 P 2.94
5 Th 0.1667 0.8333 0.5000  6 P 2.94
6 Th 0.8333 0.1667 0.5000  6 P 2.94
7 P 0.0903 0.4237 0.2711  2 Th 2.94, 1 Ce 2.94, 3 Ac 3.12
8 P 0.2427 0.2427 0.7284  2 Th 2.94, 1 Ce 2.94, 3 Ac 3.11-3.12
9 P 0.4237 0.0903 0.2711  2 Th 2.94, 1 Ce 2.94, 3 Ac 3.12
10 P 0.5763 0.9097 0.7289  2 Th 2.94, 1 Ce 2.94, 3 Ac 3.12
11 P 0.7573 0.7573 0.2716  2 Th 2.94, 1 Ce 2.94, 3 Ac 3.11-3.12
12 P 0.9097 0.5763 0.7289  2 Th 2.94, 1 Ce 2.94, 3 Ac 3.12